HfWIO2 | PBE with a Hubbard U | relaxed

Output
- excess energy over the best structure of this formula in the dataset (eV per atom) = 0.000
- raw total energy (eV per atom) = -6.698

Cell lengths 4.115, 4.115, 6.181 Å; angles 90.00, 90.00, 90.00 degrees
Space group P4/mmm (No. 123)
Inequivalent atoms, fractional coordinates:
Hf 0.000 0.000 0.000
W 0.500 0.500 0.500
I 0.000 0.000 0.500
O 0.000 0.500 0.000